Here is a relaxed K2ScCo crystal from the Alexandria database. Energies are from PBE.

**M_tot**: 0.23 μB/cell
**DOS at the Fermi energy**: 1.28 states/eV/atom
**Electronic total energy**: -2.974 eV per atom

abc: 4.274 4.274 6.147
angles: 90.00 90.00 90.00
Atoms (fractional coordinates):
1 K 0.000 0.500 0.000
2 K 0.500 0.000 0.000
3 Sc 0.000 0.000 0.500
4 Co 0.500 0.500 0.500